(1)
TbCeGa2Pd2: optimized geometry, GGA-PBE.

The calculation puts the spin magnetization at 0.56 Bohr magnetons per cell. The volume is 20.48 Å³ per atom. As for the energy relative to the elements: -4.86 eV/f.u. Its space-group type is P-3m1 (164).

```
TbCeGa2Pd2
1.0
4.539 0.000 0.000
-2.270 3.931 0.000
0.000 0.000 6.885
Tb Ce Ga Pd
1 1 2 2
Direct
0.000 0.000 0.500
0.000 0.000 0.000
0.333 0.667 0.741
0.667 0.333 0.259
0.333 0.667 0.260
0.667 0.333 0.740
```

---

(2)
Ce2Ga6TcPd: optimized geometry, GGA-PBE.

The calculation puts the spin magnetization at 3.22 Bohr magnetons per cell. The volume is 21.88 Å³ per atom. As for the energy relative to the elements: -2.85 eV/f.u. Its space-group type is Fm-3m (225).

```
Ce2Ga6TcPd
1.0
-6.709 -0.799 -0.293
0.422 -5.149 4.364
-3.667 0.075 5.683
Ce Ga Tc Pd
2 6 1 1
Direct
0.250 0.750 0.500
0.750 0.250 0.500
0.250 0.750 0.000
0.750 0.750 0.000
0.250 0.250 0.500
0.750 0.250 0.000
0.250 0.250 0.000
0.750 0.750 0.500
0.000 0.000 0.000
0.500 0.500 0.000
```

---

> Among the records above, which one has the highest energy relative to the elements?

Ce2Ga6TcPd